Record 1
An optimized crystal structure of ErScSnPd, computed with PBE-GGA.

```
data_ErScSnPd
_chemical_formula_sum 'Er4 Sc4 Sn4 Pd4'
_cell_length_a 7.065
_cell_length_b 7.065
_cell_length_c 7.065
_cell_angle_alpha 90.00
_cell_angle_beta 90.00
_cell_angle_gamma 90.00
_space_group_name_H-M_alt 'F -4 3 m'
_space_group_IT_number 216
_space_group_name_Hall 'F -4 2 3'
loop_
_atom_site_label
_atom_site_type_symbol
_atom_site_fract_x
_atom_site_fract_y
_atom_site_fract_z
Er1 Er 0.000 0.000 0.000
Sc1 Sc 0.000 0.000 0.500
Sn1 Sn 0.250 0.250 0.250
Pd1 Pd 0.250 0.250 0.750
```

Results
As for the density of states at the Fermi level: 7.289 states/eV/cell. As for the formation energy: -730 meV/atom. Its calculated density is 8.24 g/cm3. As for the calculated total energy: -92.04 eV for the cell shown.

Record 2
An optimized crystal structure of ErScTlPd, computed with PBE-GGA.

```
data_ErScTlPd
_chemical_formula_sum 'Er4 Sc4 Tl4 Pd4'
_cell_length_a 7.095
_cell_length_b 7.095
_cell_length_c 7.095
_cell_angle_alpha 90.00
_cell_angle_beta 90.00
_cell_angle_gamma 90.00
_space_group_name_H-M_alt 'F -4 3 m'
_space_group_IT_number 216
_space_group_name_Hall 'F -4 2 3'
loop_
_atom_site_label
_atom_site_type_symbol
_atom_site_fract_x
_atom_site_fract_y
_atom_site_fract_z
Er1 Er 0.000 0.000 0.000
Sc1 Sc 0.000 0.000 0.500
Tl1 Tl 0.250 0.250 0.750
Pd1 Pd 0.250 0.250 0.250
```

Results
As for the density of states at the Fermi level: 14.497 states/eV/cell. As for the formation energy: -530 meV/atom. The offset from the most stable computed form is 71 meV/atom. Its calculated density is 9.73 g/cm3. As for the calculated total energy: -82.30 eV for the cell shown.

Record 3
An optimized crystal structure of ErScTlPd, computed with PBE-GGA.

```
data_ErScTlPd
_chemical_formula_sum 'Er1 Sc1 Tl1 Pd1'
_cell_length_a 3.481
_cell_length_b 3.481
_cell_length_c 7.349
_cell_angle_alpha 90.00
_cell_angle_beta 90.00
_cell_angle_gamma 90.00
_space_group_name_H-M_alt 'P 4 m m'
_space_group_IT_number 99
loop_
_space_group_symop_operation_xyz
'x,y,z'
'-y,x,z'
'-x,-y,z'
'y,-x,z'
'-x,y,z'
'y,x,z'
'x,-y,z'
'-y,-x,z'
loop_
_atom_site_label
_atom_site_type_symbol
_atom_site_fract_x
_atom_site_fract_y
_atom_site_fract_z
Er1 Er 0.000 0.000 0.000
Sc1 Sc 0.000 0.000 0.557
Tl1 Tl 0.500 0.500 0.297
Pd1 Pd 0.500 0.500 0.754
```

Results
As for the density of states at the Fermi level: 2.939 states/eV/cell. As for the formation energy: -602 meV/atom. The offset from the most stable computed form is 0 meV/atom. Its calculated density is 9.75 g/cm3. As for the calculated total energy: -20.86 eV for the cell shown.

Record 4
An optimized crystal structure of ErTmScPd, computed with PBE-GGA.

```
data_ErTmScPd
_chemical_formula_sum 'Er4 Tm4 Sc4 Pd4'
_cell_length_a 7.221
_cell_length_b 7.221
_cell_length_c 7.221
_cell_angle_alpha 90.00
_cell_angle_beta 90.00
_cell_angle_gamma 90.00
_space_group_name_H-M_alt 'F -4 3 m'
_space_group_IT_number 216
_space_group_name_Hall 'F -4 2 3'
loop_
_atom_site_label
_atom_site_type_symbol
_atom_site_fract_x
_atom_site_fract_y
_atom_site_fract_z
Er1 Er 0.000 0.000 0.000
Tm1 Tm 0.000 0.000 0.500
Sc1 Sc 0.250 0.250 0.250
Pd1 Pd 0.250 0.250 0.750
```

Results
As for the density of states at the Fermi level: 16.552 states/eV/cell. As for the formation energy: -213 meV/atom. Its calculated density is 8.60 g/cm3. As for the calculated total energy: -85.64 eV for the cell shown.

Record 5
An optimized crystal structure of YErScPd, computed with PBE-GGA.

```
data_YErScPd
_chemical_formula_sum 'Y4 Er4 Sc4 Pd4'
_cell_length_a 7.275
_cell_length_b 7.275
_cell_length_c 7.275
_cell_angle_alpha 90.00
_cell_angle_beta 90.00
_cell_angle_gamma 90.00
_space_group_name_H-M_alt 'F -4 3 m'
_space_group_IT_number 216
_space_group_name_Hall 'F -4 2 3'
loop_
_atom_site_label
_atom_site_type_symbol
_atom_site_fract_x
_atom_site_fract_y
_atom_site_fract_z
Y1 Y 0.000 0.000 0.000
Er1 Er 0.000 0.000 0.500
Sc1 Sc 0.250 0.250 0.250
Pd1 Pd 0.250 0.250 0.750
```

Results
As for the density of states at the Fermi level: 17.794 states/eV/cell. As for the formation energy: -193 meV/atom. Its calculated density is 7.03 g/cm3. As for the calculated total energy: -93.29 eV for the cell shown.

Record 6
An optimized crystal structure of ErSc2ZnPd4, computed with PBE-GGA.

```
data_ErSc2ZnPd4
_chemical_formula_sum 'Er3 Sc6 Zn3 Pd12'
_cell_length_a 4.6444
_cell_length_b 4.6444
_cell_length_c 23.0839
_cell_angle_alpha 90.00
_cell_angle_beta 90.00
_cell_angle_gamma 120.00
_space_group_name_H-M_alt 'R -3 m'
_space_group_IT_number 166
_space_group_name_Hall '-R 3 2"'
loop_
_atom_site_label
_atom_site_type_symbol
_atom_site_fract_x
_atom_site_fract_y
_atom_site_fract_z
Er1 Er 0.0000 0.0000 0.0000
Sc1 Sc 0.0000 0.0000 0.2426
Zn1 Zn 0.0000 0.0000 0.5000
Pd1 Pd 0.0000 0.0000 0.1246
Pd2 Pd 0.0000 0.0000 0.3815
```

Results
As for the density of states at the Fermi level: 16.781 states/eV/cell. As for the formation energy: -811 meV/atom. Its calculated density is 8.64 g/cm3. As for the calculated total energy: -137.27 eV for the cell shown.

Record 7
An optimized crystal structure of ErScZnPd, computed with PBE-GGA.

```
data_ErScZnPd
_chemical_formula_sum 'Er4 Sc4 Zn4 Pd4'
_cell_length_a 6.850
_cell_length_b 6.850
_cell_length_c 6.850
_cell_angle_alpha 90.00
_cell_angle_beta 90.00
_cell_angle_gamma 90.00
_space_group_name_H-M_alt 'F -4 3 m'
_space_group_IT_number 216
_space_group_name_Hall 'F -4 2 3'
loop_
_atom_site_label
_atom_site_type_symbol
_atom_site_fract_x
_atom_site_fract_y
_atom_site_fract_z
Er1 Er 0.000 0.000 0.000
Sc1 Sc 0.000 0.000 0.500
Zn1 Zn 0.250 0.250 0.250
Pd1 Pd 0.250 0.250 0.750
```

Results
As for the density of states at the Fermi level: 10.253 states/eV/cell. As for the formation energy: -608 meV/atom. The offset from the most stable computed form is 31 meV/atom. Its calculated density is 7.94 g/cm3. As for the calculated total energy: -79.17 eV for the cell shown.

Record 8
An optimized crystal structure of ErScZnPd, computed with PBE-GGA.

```
data_ErScZnPd
_chemical_formula_sum 'Er1 Sc1 Zn1 Pd1'
_cell_length_a 3.428
_cell_length_b 3.428
_cell_length_c 6.778
_cell_angle_alpha 90.00
_cell_angle_beta 90.00
_cell_angle_gamma 90.00
_space_group_name_H-M_alt 'P 4 m m'
_space_group_IT_number 99
loop_
_space_group_symop_operation_xyz
'x,y,z'
'-y,x,z'
'-x,-y,z'
'y,-x,z'
'-x,y,z'
'y,x,z'
'x,-y,z'
'-y,-x,z'
loop_
_atom_site_label
_atom_site_type_symbol
_atom_site_fract_x
_atom_site_fract_y
_atom_site_fract_z
Er1 Er 0.000 0.000 0.000
Sc1 Sc 0.000 0.000 0.495
Zn1 Zn 0.500 0.500 0.724
Pd1 Pd 0.500 0.500 0.266
```

Results
As for the density of states at the Fermi level: 3.048 states/eV/cell. As for the formation energy: -639 meV/atom. The offset from the most stable computed form is 0 meV/atom. Its calculated density is 8.00 g/cm3. As for the calculated total energy: -19.92 eV for the cell shown.

Record 9
An optimized crystal structure of Er3PdSe2, computed with PBE-GGA.

```
data_Er3PdSe2
_chemical_formula_sum 'Er48 Pd16 Se32'
_cell_length_a 8.316
_cell_length_b 11.513
_cell_length_c 23.987
_cell_angle_alpha 90.00
_cell_angle_beta 90.00
_cell_angle_gamma 90.00
_space_group_name_H-M_alt 'F d d d'
_space_group_IT_number 70
loop_
_space_group_symop_operation_xyz
'x,y,z'
'-x,-y,-z'
'-x+1/4,-y+1/4,z'
'x+1/4,y+1/4,-z'
'x,-y+1/4,-z+1/4'
'-x,y+1/4,z+1/4'
'-x+1/4,y,-z+1/4'
'x+1/4,-y,z+1/4'
'x,y+1/2,z+1/2'
'-x,-y+1/2,-z+1/2'
'-x+1/4,-y+3/4,z+1/2'
'x+1/4,y+3/4,-z+1/2'
'x,-y+3/4,-z+3/4'
'-x,y+3/4,z+3/4'
'-x+1/4,y+1/2,-z+3/4'
'x+1/4,-y+1/2,z+3/4'
'x+1/2,y,z+1/2'
'-x+1/2,-y,-z+1/2'
'-x+3/4,-y+1/4,z+1/2'
'x+3/4,y+1/4,-z+1/2'
'x+1/2,-y+1/4,-z+3/4'
'-x+1/2,y+1/4,z+3/4'
'-x+3/4,y,-z+3/4'
'x+3/4,-y,z+3/4'
'x+1/2,y+1/2,z'
'-x+1/2,-y+1/2,-z'
'-x+3/4,-y+3/4,z'
'x+3/4,y+3/4,-z'
'x+1/2,-y+3/4,-z+1/4'
'-x+1/2,y+3/4,z+1/4'
'-x+3/4,y+1/2,-z+1/4'
'x+3/4,-y+1/2,z+1/4'
loop_
_atom_site_label
_atom_site_type_symbol
_atom_site_fract_x
_atom_site_fract_y
_atom_site_fract_z
Er1 Er 0.116 0.375 0.375
Er2 Er 0.119 0.368 0.211
Pd1 Pd 0.125 0.125 0.042
Se1 Se 0.125 0.125 0.377
Se2 Se 0.125 0.125 0.544
```

Results
As for the density of states at the Fermi level: 51.864 states/eV/cell. Its calculated density is 8.86 g/cm3. As for the calculated total energy: -548.77 eV for the cell shown.

Record 10
An optimized crystal structure of ErPdSe2, computed with PBE-GGA.

```
data_ErPdSe2
_chemical_formula_sum 'Er3 Pd3 Se6'
_cell_length_a 3.9933
_cell_length_b 3.9933
_cell_length_c 19.1197
_cell_angle_alpha 90.00
_cell_angle_beta 90.00
_cell_angle_gamma 120.00
_space_group_name_H-M_alt 'R 3 m'
_space_group_IT_number 160
_space_group_name_Hall 'R 3 -2"'
loop_
_atom_site_label
_atom_site_type_symbol
_atom_site_fract_x
_atom_site_fract_y
_atom_site_fract_z
Er1 Er 0.0000 0.0000 0.0000
Pd1 Pd 0.0000 0.0000 0.8301
Se1 Se 0.0000 0.0000 0.2444
Se2 Se 0.0000 0.0000 0.4217
```

Results
As for the density of states at the Fermi level: 13.749 states/eV/cell. The offset from the most stable computed form is 0 meV/atom. Its calculated density is 8.14 g/cm3. As for the calculated total energy: -61.70 eV for the cell shown.